# ZnTc2Cl

ZnTc2Cl after structural relaxation (PBE, Alexandria via LeMat-Bulk).

```
data_ZnTc2Cl
_chemical_formula_sum 'Zn1 Tc2 Cl1'
_cell_length_a 4.4878
_cell_length_b 3.0928
_cell_length_c 4.7266
_cell_angle_alpha 94.59
_cell_angle_beta 90.00
_cell_angle_gamma 90.00
_symmetry_space_group_name_H-M 'P 1'
_symmetry_Int_Tables_number 1
loop_
_symmetry_equiv_pos_as_xyz
'x,y,z'
loop_
_atom_site_label
_atom_site_fract_x
_atom_site_fract_y
_atom_site_fract_z
Cl1 0.5000 0.7500 0.7500
Tc1 0.0000 0.9189 0.0382
Tc2 0.0000 0.5811 0.4618
Zn1 0.5000 0.2500 0.2500
```

As for the raw total energy: -0.1988 hartree per atom. The raw formation energy is 2.2 eV/f.u.